--- a ---
This record from Alexandria describes a relaxed AcPm7Pr3 crystal. The functional is PBE.

Computed properties:
SG: No. 156

a = 7.3129 Å, b = 7.3129 Å, c = 8.9159 Å
α = 90.00°, β = 90.00°, γ = 120.00°
Positions (direct):
Ac 0.0000 0.0000 0.0000
Pm 0.1672 0.3345 0.3292
Pm 0.1672 0.8328 0.3292
Pm 0.5005 0.0011 0.9940
Pm 0.5005 0.4995 0.9940
Pm 0.6655 0.8328 0.3292
Pm 0.6667 0.3333 0.3186
Pm 0.9989 0.4995 0.9940
Pr 0.3358 0.1679 0.6567
Pr 0.8321 0.1679 0.6567
Pr 0.8321 0.6642 0.6567

---

--- b ---
This record from Alexandria describes a relaxed AcPm7Pr3 crystal. The functional is PBE.

Computed properties:
SG: No. 12

a = 7.8800 Å, b = 7.8800 Å, c = 6.6637 Å
α = 93.90°, β = 93.90°, γ = 80.96°
Positions (direct):
Ac 0.0000 0.0000 0.0000
Pm 0.0000 0.0000 0.5000
Pm 0.0738 0.4233 0.7596
Pm 0.2654 0.2654 0.2971
Pm 0.4233 0.0738 0.7596
Pm 0.5767 0.9262 0.2404
Pm 0.7346 0.7346 0.7029
Pm 0.9262 0.5767 0.2404
Pr 0.3254 0.6746 0.5000
Pr 0.5000 0.5000 0.0000
Pr 0.6746 0.3254 0.5000

---

Least stable structure: b

---

--- a ---
This record from Alexandria describes a relaxed Ac4PmPr5 crystal. The functional is PBE.

Computed properties:
SG: No. 123

a = 3.8629 Å, b = 3.8629 Å, c = 26.4412 Å
α = 90.00°, β = 90.00°, γ = 90.00°
Positions (direct):
Ac 0.0000 0.0000 0.1013
Ac 0.0000 0.0000 0.3045
Ac 0.0000 0.0000 0.6955
Ac 0.0000 0.0000 0.8987
Pm 0.0000 0.0000 0.5000
Pr 0.5000 0.5000 0.0000
Pr 0.5000 0.5000 0.2028
Pr 0.5000 0.5000 0.4066
Pr 0.5000 0.5000 0.5934
Pr 0.5000 0.5000 0.7972

---

--- b ---
This record from Alexandria describes a relaxed Ac4PmPr5 crystal. The functional is PBE.

Computed properties:
SG: No. 12

a = 9.1203 Å, b = 9.1203 Å, c = 12.1285 Å
α = 90.35°, β = 90.35°, γ = 23.96°
Positions (direct):
Ac 0.0316 0.0316 0.2490
Ac 0.3352 0.3352 0.2503
Ac 0.6648 0.6648 0.7497
Ac 0.9684 0.9684 0.7510
Pm 0.5000 0.5000 0.0000
Pr 0.1710 0.1710 0.0399
Pr 0.1716 0.1716 0.4581
Pr 0.5000 0.5000 0.5000
Pr 0.8284 0.8284 0.5419
Pr 0.8290 0.8290 0.9601

---

Least stable structure: b

---

--- a ---
This record from Alexandria describes a relaxed Ac3Pm3Pr2 crystal. The functional is PBE.

Computed properties:
SG: No. 71

a = 11.4268 Å, b = 11.4268 Å, c = 11.4268 Å
α = 153.22°, β = 152.63°, γ = 38.66°
Positions (direct):
Ac 0.0000 0.0000 0.0000
Ac 0.3743 0.8743 0.5000
Ac 0.6257 0.1257 0.5000
Pm 0.1280 0.6280 0.5000
Pm 0.5000 0.5000 0.0000
Pm 0.8720 0.3720 0.5000
Pr 0.2488 0.2488 0.0000
Pr 0.7512 0.7512 0.0000

---

--- b ---
This record from Alexandria describes a relaxed Ac3Pm3Pr2 crystal. The functional is PBE.

Computed properties:
SG: No. 193

a = 10.2585 Å, b = 10.2585 Å, c = 6.8837 Å
α = 90.00°, β = 90.00°, γ = 120.00°
Positions (direct):
Ac 0.0000 0.2311 0.2500
Ac 0.0000 0.7689 0.7500
Ac 0.2311 0.0000 0.2500
Ac 0.2311 0.2311 0.7500
Ac 0.7689 0.0000 0.7500
Ac 0.7689 0.7689 0.2500
Pm 0.0000 0.4138 0.7500
Pm 0.0000 0.5862 0.2500
Pm 0.4138 0.0000 0.7500
Pm 0.4138 0.4138 0.2500
Pm 0.5862 0.0000 0.2500
Pm 0.5862 0.5862 0.7500
Pr 0.3333 0.6667 0.0000
Pr 0.3333 0.6667 0.5000
Pr 0.6667 0.3333 0.0000
Pr 0.6667 0.3333 0.5000

---

Least stable structure: b

---

--- a ---
This record from Alexandria describes a relaxed Ac3Pm2Pr2 crystal. The functional is PBE.

Computed properties:
SG: No. 65

a = 13.0343 Å, b = 13.0343 Å, c = 3.7793 Å
α = 90.00°, β = 90.00°, γ = 154.67°
Positions (direct):
Ac 0.0000 0.0000 0.0000
Ac 0.1518 0.8482 0.0000
Ac 0.8482 0.1518 0.0000
Pm 0.2851 0.7149 0.5000
Pm 0.7149 0.2851 0.5000
Pr 0.4268 0.5732 0.5000
Pr 0.5732 0.4268 0.5000

---

--- b ---
This record from Alexandria describes a relaxed Ac3Pm2Pr2 crystal. The functional is PBE.

Computed properties:
SG: No. 12

a = 9.5275 Å, b = 9.5275 Å, c = 9.0064 Å
α = 117.10°, β = 117.10°, γ = 22.55°
Positions (direct):
Ac 0.0000 0.0000 0.0000
Ac 0.2172 0.2172 0.2934
Ac 0.7828 0.7828 0.7066
Pm 0.1417 0.1417 0.8228
Pm 0.8583 0.8583 0.1772
Pr 0.4366 0.4366 0.5899
Pr 0.5634 0.5634 0.4101

---

Least stable structure: b

---

--- a ---
This record from Alexandria describes a relaxed AcPm2Pr5 crystal. The functional is PBE.

Computed properties:
SG: No. 2

a = 8.9039 Å, b = 11.6440 Å, c = 12.7906 Å
α = 95.89°, β = 109.15°, γ = 104.79°
Positions (direct):
Ac 0.0257 0.4030 0.1803
Ac 0.1004 0.3393 0.6934
Ac 0.8996 0.6607 0.3066
Ac 0.9743 0.5970 0.8197
Pm 0.2251 0.0903 0.5679
Pm 0.3403 0.2800 0.3713
Pm 0.4152 0.2164 0.8813
Pm 0.4643 0.0311 0.2447
Pm 0.5357 0.9689 0.7553
Pm 0.5848 0.7836 0.1187
Pm 0.6597 0.7200 0.6287
Pm 0.7749 0.9097 0.4321
Pr 0.0393 0.9747 0.2564
Pr 0.0903 0.7839 0.6195
Pr 0.1506 0.1537 0.0539
Pr 0.1671 0.7248 0.1321
Pr 0.2171 0.5327 0.4960
Pr 0.2801 0.9105 0.9330
Pr 0.2932 0.4702 0.0077
Pr 0.3545 0.8468 0.4456
Pr 0.4076 0.6597 0.8070
Pr 0.4752 0.5972 0.3205
Pr 0.5248 0.4028 0.6795
Pr 0.5924 0.3403 0.1930
Pr 0.6455 0.1532 0.5544
Pr 0.7068 0.5298 0.9923
Pr 0.7199 0.0895 0.0670
Pr 0.7829 0.4673 0.5040
Pr 0.8329 0.2752 0.8679
Pr 0.8494 0.8463 0.9461
Pr 0.9097 0.2161 0.3805
Pr 0.9607 0.0253 0.7436

---

--- b ---
This record from Alexandria describes a relaxed AcPm2Pr5 crystal. The functional is PBE.

Computed properties:
SG: No. 55

a = 7.4584 Å, b = 14.9226 Å, c = 5.2799 Å
α = 90.00°, β = 90.00°, γ = 90.00°
Positions (direct):
Ac 0.0000 0.0000 0.0000
Ac 0.5000 0.5000 0.0000
Pm 0.2488 0.3730 0.5000
Pm 0.2512 0.8730 0.5000
Pm 0.7488 0.1270 0.5000
Pm 0.7512 0.6270 0.5000
Pr 0.0000 0.5000 0.0000
Pr 0.0008 0.2524 0.0000
Pr 0.2473 0.6269 0.5000
Pr 0.2527 0.1269 0.5000
Pr 0.4992 0.7524 0.0000
Pr 0.5000 0.0000 0.0000
Pr 0.5008 0.2476 0.0000
Pr 0.7473 0.8731 0.5000
Pr 0.7527 0.3731 0.5000
Pr 0.9992 0.7476 0.0000

---

Least stable structure: a

---

--- a ---
This record from Alexandria describes a relaxed AcPm3Pr crystal. The functional is PBE.

Computed properties:
SG: No. 63

a = 6.5460 Å, b = 6.5460 Å, c = 12.2393 Å
α = 90.00°, β = 90.00°, γ = 134.40°
Positions (direct):
Ac 0.1103 0.8897 0.7500
Ac 0.8897 0.1103 0.2500
Pm 0.2086 0.7914 0.0947
Pm 0.2086 0.7914 0.4053
Pm 0.4063 0.5937 0.7500
Pm 0.5937 0.4063 0.2500
Pm 0.7914 0.2086 0.5947
Pm 0.7914 0.2086 0.9053
Pr 0.5000 0.5000 0.0000
Pr 0.5000 0.5000 0.5000

---

--- b ---
This record from Alexandria describes a relaxed AcPm3Pr crystal. The functional is PBE.

Computed properties:
SG: No. 14

a = 6.3860 Å, b = 7.0478 Å, c = 17.5969 Å
α = 90.00°, β = 109.96°, γ = 90.00°
Positions (direct):
Ac 0.0444 0.0532 0.3485
Ac 0.0444 0.4468 0.8485
Ac 0.9556 0.5532 0.1515
Ac 0.9556 0.9468 0.6515
Pm 0.2128 0.5481 0.3683
Pm 0.2128 0.9519 0.8683
Pm 0.2144 0.1684 0.0504
Pm 0.2144 0.3316 0.5504
Pm 0.3690 0.6695 0.0474
Pm 0.3690 0.8305 0.5474
Pm 0.6310 0.1695 0.4526
Pm 0.6310 0.3305 0.9526
Pm 0.7856 0.6684 0.4496
Pm 0.7856 0.8316 0.9496
Pm 0.7872 0.0481 0.1317
Pm 0.7872 0.4519 0.6317
Pr 0.4455 0.6281 0.7455
Pr 0.4455 0.8719 0.2455
Pr 0.5545 0.1281 0.7545
Pr 0.5545 0.3719 0.2545

---

Least stable structure: a

---

--- a ---
This record from Alexandria describes a relaxed Ac2Pm7Pr2 crystal. The functional is PBE.

Computed properties:
SG: No. 44

a = 11.1584 Å, b = 11.1584 Å, c = 11.1584 Å
α = 160.89°, β = 69.68°, γ = 113.73°
Positions (direct):
Ac 0.2008 0.0000 0.2008
Ac 0.7992 0.0000 0.7992
Pm 0.0909 0.7586 0.3323
Pm 0.3755 0.4904 0.8851
Pm 0.4262 0.7586 0.6677
Pm 0.5739 0.2425 0.3313
Pm 0.6053 0.4904 0.1149
Pm 0.9112 0.2425 0.6687
Pm 0.9155 0.9155 0.0000
Pr 0.2275 0.2275 0.0000
Pr 0.6659 0.1659 0.5000

---

--- b ---
This record from Alexandria describes a relaxed Ac2Pm7Pr2 crystal. The functional is PBE.

Computed properties:
SG: No. 12

a = 8.3786 Å, b = 8.3786 Å, c = 6.2939 Å
α = 105.25°, β = 105.25°, γ = 92.49°
Positions (direct):
Ac 0.2311 0.2311 0.0859
Ac 0.7689 0.7689 0.9141
Pm 0.0000 0.0000 0.5000
Pm 0.0660 0.5933 0.3391
Pm 0.4067 0.9340 0.6609
Pm 0.4126 0.4126 0.6953
Pm 0.5874 0.5874 0.3047
Pm 0.5933 0.0660 0.3391
Pm 0.9340 0.4067 0.6609
Pr 0.2276 0.7724 0.0000
Pr 0.7724 0.2276 0.0000

---

Least stable structure: a

---

--- a ---
This record from Alexandria describes a relaxed AcPm7Pr12 crystal. The functional is PBE.

Computed properties:
SG: No. 148

a = 8.9800 Å, b = 8.9800 Å, c = 8.9800 Å
α = 90.19°, β = 90.19°, γ = 90.19°
Positions (direct):
Ac 0.0000 0.0000 0.0000
Pm 0.0617 0.1597 0.3878
Pm 0.1597 0.3878 0.0617
Pm 0.3878 0.0617 0.1597
Pm 0.5000 0.5000 0.5000
Pm 0.6122 0.9383 0.8403
Pm 0.8403 0.6122 0.9383
Pm 0.9383 0.8403 0.6122
Pr 0.1204 0.7139 0.2648
Pr 0.1479 0.5090 0.6258
Pr 0.2648 0.1204 0.7139
Pr 0.2861 0.7352 0.8796
Pr 0.3742 0.8521 0.4910
Pr 0.4910 0.3742 0.8521
Pr 0.5090 0.6258 0.1479
Pr 0.6258 0.1479 0.5090
Pr 0.7139 0.2648 0.1204
Pr 0.7352 0.8796 0.2861
Pr 0.8521 0.4910 0.3742
Pr 0.8796 0.2861 0.7352

---

--- b ---
This record from Alexandria describes a relaxed AcPm7Pr12 crystal. The functional is PBE.

Computed properties:
SG: No. 229

a = 10.2005 Å, b = 10.2005 Å, c = 10.2005 Å
α = 109.47°, β = 109.47°, γ = 109.47°
Positions (direct):
Ac 0.0000 0.0000 0.0000
Pm 0.0000 0.0000 0.5000
Pm 0.0000 0.5000 0.0000
Pm 0.0000 0.5000 0.5000
Pm 0.5000 0.0000 0.0000
Pm 0.5000 0.0000 0.5000
Pm 0.5000 0.5000 0.0000
Pm 0.5000 0.5000 0.5000
Pr 0.0000 0.2544 0.7456
Pr 0.0000 0.7456 0.2544
Pr 0.2544 0.0000 0.7456
Pr 0.2544 0.2544 0.5089
Pr 0.2544 0.5089 0.2544
Pr 0.2544 0.7456 0.0000
Pr 0.4911 0.7456 0.7456
Pr 0.5089 0.2544 0.2544
Pr 0.7456 0.0000 0.2544
Pr 0.7456 0.2544 0.0000
Pr 0.7456 0.4911 0.7456
Pr 0.7456 0.7456 0.4911

---

Least stable structure: b

---

--- a ---
This record from Alexandria describes a relaxed Ac2Pm4Pr3 crystal. The functional is PBE.

Computed properties:
SG: No. 14

a = 8.9727 Å, b = 8.8901 Å, c = 9.2093 Å
α = 90.00°, β = 112.25°, γ = 90.00°
Positions (direct):
Ac 0.1755 0.1490 0.0498
Ac 0.1755 0.3510 0.5498
Ac 0.8245 0.6490 0.4502
Ac 0.8245 0.8510 0.9502
Pm 0.0794 0.5356 0.8675
Pm 0.0794 0.9644 0.3675
Pm 0.4763 0.1364 0.8546
Pm 0.4763 0.3636 0.3546
Pm 0.5237 0.6364 0.6454
Pm 0.5237 0.8636 0.1454
Pm 0.9206 0.0356 0.6325
Pm 0.9206 0.4644 0.1325
Pr 0.2501 0.6785 0.2516
Pr 0.2501 0.8215 0.7516
Pr 0.5000 0.0000 0.5000
Pr 0.5000 0.5000 0.0000
Pr 0.7499 0.1785 0.2484
Pr 0.7499 0.3215 0.7484

---

--- b ---
This record from Alexandria describes a relaxed Ac2Pm4Pr3 crystal. The functional is PBE.

Computed properties:
SG: No. 156

a = 3.7567 Å, b = 3.7567 Å, c = 27.8468 Å
α = 90.00°, β = 90.00°, γ = 120.00°
Positions (direct):
Ac 0.0000 0.0000 0.0000
Ac 0.0000 0.0000 0.2281
Pm 0.0000 0.0000 0.3569
Pm 0.0000 0.0000 0.5702
Pm 0.3333 0.6667 0.6734
Pm 0.3333 0.6667 0.8878
Pr 0.0000 0.0000 0.7818
Pr 0.3333 0.6667 0.1162
Pr 0.3333 0.6667 0.4601

---

Least stable structure: a

---

--- a ---
This record from Alexandria describes a relaxed AcPmPrSm crystal. The functional is PBE.

Computed properties:
SG: No. 119

a = 6.4877 Å, b = 6.4877 Å, c = 6.4877 Å
α = 131.69°, β = 131.69°, γ = 70.71°
Positions (direct):
Ac 0.0000 0.0000 0.0000
Pm 0.5000 0.5000 0.0000
Pr 0.7500 0.2500 0.5000
Sm 0.2500 0.7500 0.5000

---

--- b ---
This record from Alexandria describes a relaxed AcPmPrSm crystal. The functional is PBE.

Computed properties:
SG: No. 216

a = 5.9510 Å, b = 5.9510 Å, c = 5.9510 Å
α = 60.00°, β = 60.00°, γ = 60.00°
Positions (direct):
Ac 0.0000 0.0000 0.0000
Pm 0.2500 0.2500 0.2500
Pr 0.5000 0.5000 0.5000
Sm 0.7500 0.7500 0.7500

---

Least stable structure: b